## TlAs2SeCl (PBE)

Data for a relaxed TlAs2SeCl crystal.

## Properties
* energy above the lowest structure with this stoichiometry: 0.228 eV/atom
* spin magnetization: 0.73 Bohr magnetons per cell
* electronic total energy: -2.43 eV per atom

Cell lengths 5.4573, 5.4573, 5.3303 Å; angles 90.00, 90.00, 90.00 degrees
Last column: nearest neighbours and their distance in Å.
Positions (direct):
Tl 0.0000 0.0000 0.0000  2 Se 2.67, 4 As 2.73
As 0.0000 0.5000 0.0000  2 Tl 2.73
As 0.5000 0.0000 0.0000  2 Tl 2.73
Se 0.0000 0.0000 0.5000  2 Tl 2.67
Cl 0.5000 0.5000 0.5000  8 As 3.81, 4 Se 3.86

---

## TlAsSeCl2 (PBE)

Data for a relaxed TlAsSeCl2 crystal.

## Properties
* spin magnetization: 0.33 Bohr magnetons per cell
* electronic total energy: -2.47 eV per atom

Cell lengths 5.1564, 5.8303, 5.1564 Å; angles 90.00, 90.00, 90.00 degrees
Last column: nearest neighbours and their distance in Å.
Positions (direct):
Tl 0.0000 0.0000 0.0000  4 Cl 2.58
As 0.0000 0.5000 0.0000  2 Tl 2.92
Se 0.5000 0.5000 0.5000  4 As 3.65, 8 Cl 3.89
Cl 0.0000 0.0000 0.5000  2 Tl 2.58
Cl 0.5000 0.0000 0.0000  2 Tl 2.58

---

## TlAs2SeCl (PBE)

Data for a relaxed TlAs2SeCl crystal.

## Properties
* energy above the lowest structure with this stoichiometry: 0.000 eV/atom
* spin magnetization: 0.87 Bohr magnetons per cell
* electronic total energy: -2.65 eV per atom

Cell lengths 4.9925, 4.9925, 5.4304 Å; angles 90.00, 90.00, 90.00 degrees
Last column: nearest neighbours and their distance in Å.
Positions (direct):
Tl 0.5000 0.5000 0.5000  4 Se 3.53, 8 As 3.69
As 0.0000 0.5000 0.0000  2 Cl 2.50
As 0.5000 0.0000 0.0000  2 Cl 2.50
Se 0.0000 0.0000 0.5000  2 Cl 2.72
Cl 0.0000 0.0000 0.0000  4 As 2.50, 2 Se 2.72

---

## VAs2SeCl (PBE)

Data for a relaxed VAs2SeCl crystal.

## Properties
* energy above the lowest structure with this stoichiometry: 1.227 eV/atom
* spin magnetization: 0.09 Bohr magnetons per cell
* electronic total energy: -3.49 eV per atom

Cell lengths 4.7384, 4.7384, 4.9847 Å; angles 90.00, 90.00, 90.00 degrees
Last column: nearest neighbours and their distance in Å.
Positions (direct):
As 0.0000 0.5000 0.0000  2 Cl 2.37
As 0.5000 0.0000 0.0000  2 Cl 2.37
Cl 0.0000 0.0000 0.0000  4 As 2.37, 2 Se 2.49
Se 0.0000 0.0000 0.5000  2 Cl 2.49
V 0.5000 0.5000 0.5000  4 Se 3.35, 8 As 3.44